{
  "formula": "La3Y3Tm2",
  "functional": "GGA-PBE",
  "state": "optimized geometry",
  "e_above_lowest_polymorph_ev_per_atom": 0.0000,
  "dos_ef_per_ev_atom": 1.777,
  "density_g_cm3": 6.31,
  "ef_ev_per_atom": 0.04,
  "magnetic_moment_mub_per_cell": 0.000,
  "spacegroup": "No. 71",
  "cell": [[5.0699, 0.0000, 0.0000], [0.0000, 5.1596, 0.0000], [-2.5350, -2.5798, 10.2673]],
  "species": ["La", "La", "La", "Y", "Y", "Y", "Tm", "Tm"],
  "fractional_positions": [[0.3733, 0.3733, 0.7465], [0.6267, 0.6267, 0.2535], [0.5000, 0.0000, 0.0000], [0.8713, 0.8713, 0.7426], [0.0000, 0.5000, 0.0000], [0.1287, 0.1287, 0.2574], [0.2511, 0.7511, 0.5023], [0.7489, 0.2489, 0.4977]]
}